Entry 1:
Here is a relaxed structure of Mo3W from Alexandria. Energies are from PBE.

## Properties
**Energy of formation**: -0.0108 eV/atom
**Crystal system**: orthorhombic

Cell: 6.3381 8.9542 4.4854 Å, 90.00 90.00 90.00°
Space group Cmcm (No. 63)
Asymmetric unit:
Mo 0.0000 0.1254 0.2500
Mo 0.2498 0.1250 0.7500
W 0.0000 0.3755 0.7500

Entry 2:
Here is a relaxed structure of Ga3PdI from Alexandria. Energies are from PBE.

## Properties
**Formation energy (no corrections)**: -0.32 eV/atom
**Crystal system**: cubic

Cell: 4.9808 4.9808 4.9808 Å, 90.00 90.00 90.00°
Space group Pm-3m (No. 221)
Asymmetric unit:
Ga 0.0000 0.0000 0.5000
Pd 0.0000 0.0000 0.0000
I 0.5000 0.5000 0.5000

Entry 3:
Here is a relaxed structure of Sc2SnCl from Alexandria. Energies are from PBE.

## Properties
**Formation energy (no corrections)**: -0.69 eV/atom
**Crystal system**: cubic

Cell: 7.0872 7.0872 7.0872 Å, 90.00 90.00 90.00°
Space group Fm-3m (No. 225)
Asymmetric unit:
Sc 0.2500 0.2500 0.2500
Sn 0.0000 0.0000 0.0000
Cl 0.0000 0.0000 0.5000

Entry 4:
Here is a relaxed structure of Pr2Sm3In2 from Alexandria. Energies are from PBE.

## Properties
**Energy of formation**: -0.2706 eV/atom
**Crystal system**: triclinic

Cell: 4.6457 6.1409 8.1401 Å, 95.58 90.09 112.14°
Space group P-1 (No. 2)
Asymmetric unit:
Pr 0.1288 0.2670 0.4310
Sm 0.0000 0.0000 0.0000
Sm 0.2696 0.5412 0.8495
In 0.4265 0.8547 0.2742

Entry 5:
Here is a relaxed structure of Pd6PtW from Alexandria. Energies are from PBE.

## Properties
**Energy of formation**: 0.0831 eV/atom
**Crystal system**: triclinic

Cell: 5.0016 5.0081 5.0194 Å, 91.67 91.87 91.59°
Space group P-1 (No. 2)
Asymmetric unit:
Pd 0.0064 0.4830 0.2497
Pd 0.2506 0.9914 0.0226
Pd 0.4825 0.7496 0.5089
Pt 0.5000 0.5000 0.0000
W 0.0000 0.0000 0.5000

Entry 6:
Here is a relaxed structure of CsSiSbTe2 from Alexandria. Energies are from PBE.

## Properties
**Formation energy (no corrections)**: 1.63 eV/atom
**Crystal system**: tetragonal

Cell: 6.3297 6.3297 6.3686 Å, 90.00 90.00 90.00°
Space group P4/mmm (No. 123)
Asymmetric unit:
Cs 0.0000 0.0000 0.0000
Si 0.5000 0.5000 0.5000
Sb 0.0000 0.0000 0.5000
Te 0.0000 0.5000 0.0000

Entry 7:
Here is a relaxed structure of TlS2 from Alexandria. Energies are from PBE.

## Properties
**Formation energy (no corrections)**: -0.02 eV/atom
**Crystal system**: monoclinic

Cell: 11.8516 4.0669 6.8553 Å, 90.00 90.24 90.00°
Space group C2/m (No. 12)
Asymmetric unit:
Tl 0.1221 0.0000 0.2205
S 0.1143 0.5000 0.7851
S 0.1574 0.0000 0.6733

Entry 8:
Here is a relaxed structure of SmB4C2 from Alexandria. Energies are from PBE.

## Properties
**Energy of formation**: 0.1800 eV/atom
**Crystal system**: tetragonal

Cell: 6.0881 6.0881 4.4212 Å, 90.00 90.00 90.00°
Space group P4_2/mnm (No. 136)
Asymmetric unit:
Sm 0.0000 0.0000 0.0000
B 0.0553 0.3823 0.5000
C 0.1902 0.1902 0.5000

The calculated volume results, record by record, are as follows: 15.91; 24.71; 22.25; 30.56; 15.69; 51.03; 27.53; 11.71 Å³ per atom.